Record 1
Compound: La4Co2Hg
Source: the Alexandria database
Functional: PBE
Structure: relaxed

Unit cell a=8.122 b=8.122 c=8.150 alpha=108.55 beta=108.53 gamma=111.22
Element x y z (fractional)
La1 0.906 0.223 0.319
La2 0.345 0.527 0.182
La3 0.904 0.587 0.681
La4 0.777 0.095 0.682
La5 0.413 0.095 0.318
La6 0.345 0.163 0.818
La7 0.473 0.656 0.819
La8 0.837 0.654 0.181
Co1 0.625 0.375 0.750
Co2 0.625 0.875 0.250
Co3 0.625 0.375 0.250
Co4 0.125 0.375 0.750
Hg1 0.250 0.750 0.500
Hg2 0.000 0.000 0.000

Summary:
The space group is Fddd (70). As for the magnetization: 0.00 μB/f.u. For the uncorrected energy, the calculation gives -34.98 eV/f.u. Its theoretical density is 7.0 Mg/m³.



Record 2
Compound: La8CoHg2
Source: the Alexandria database
Functional: PBE
Structure: relaxed

Unit cell a=5.539 b=6.925 c=10.112 alpha=113.44 beta=105.89 gamma=90.00
Element x y z (fractional)
La1 0.416 0.587 0.832
La2 0.657 0.987 0.313
La3 0.792 0.691 0.584
La4 0.985 0.193 0.969
La5 0.208 0.309 0.416
La6 0.343 0.013 0.687
La7 0.584 0.413 0.168
La8 0.015 0.807 0.031
Co1 0.500 0.000 0.000
Hg1 0.836 0.291 0.672
Hg2 0.164 0.709 0.328

Summary:
The space group is C2/m (12). As for the magnetization: 0.00 μB/f.u. For the uncorrected energy, the calculation gives -49.20 eV/f.u. Its theoretical density is 7.7 Mg/m³.



Record 3
Compound: LaCoHg4
Source: the Alexandria database
Functional: PBE
Structure: relaxed

Unit cell a=5.868 b=5.868 c=5.868 alpha=60.00 beta=60.00 gamma=60.00
Last column: magnetic moment on the atom in μB.
Element x y z (fractional)
La1 0.750 0.750 0.750  -0.15
Co1 0.000 0.000 0.000  1.65
Hg1 0.374 0.877 0.374  -0.02
Hg2 0.877 0.374 0.374  -0.02
Hg3 0.374 0.374 0.877  -0.02
Hg4 0.374 0.374 0.374  -0.02

Summary:
The space group is F-43m (216). As for the magnetization: 1.02 μB/f.u. For the uncorrected energy, the calculation gives -12.21 eV/f.u. Its theoretical density is 11.6 Mg/m³.



Record 4
Compound: La4CoHg2
Source: the Alexandria database
Functional: PBE
Structure: relaxed

Unit cell a=5.212 b=5.212 c=8.911 alpha=73.00 beta=73.00 gamma=90.00
Element x y z (fractional)
Co1 0.000 0.000 0.000
Hg1 0.631 0.631 0.737
Hg2 0.369 0.369 0.263
La1 0.822 0.822 0.357
La2 0.178 0.178 0.643
La3 0.000 0.500 0.000
La4 0.500 0.000 0.000

Summary:
The space group is I4/mmm (139). As for the magnetization: 0.00 μB/f.u. For the uncorrected energy, the calculation gives -29.33 eV/f.u. Its theoretical density is 7.7 Mg/m³.



Record 5
Compound: LaCo3Hg
Source: the Alexandria database
Functional: PBE
Structure: relaxed

Unit cell a=4.646 b=4.646 c=4.646 alpha=90.00 beta=90.00 gamma=90.00
Last column: magnetic moment on the atom in μB.
Element x y z (fractional)
Co1 0.000 0.500 0.000  0.82
Co2 0.000 0.000 0.500  0.82
Co3 0.500 0.000 0.000  0.73
Hg1 0.500 0.500 0.500  0.02
La1 0.000 0.000 0.000  -0.20

Summary:
The space group is Pm-3m (221). As for the magnetization: 2.14 μB/f.u. For the uncorrected energy, the calculation gives -19.41 eV/f.u. Its theoretical density is 8.5 Mg/m³.



Record 6
Compound: La7CoHg2
Source: the Alexandria database
Functional: PBE
Structure: relaxed

Unit cell a=9.097 b=9.870 c=9.018 alpha=71.58 beta=59.71 gamma=62.56
Element x y z (fractional)
La1 0.698 0.503 0.863
La2 0.936 0.003 0.363
La3 0.252 0.904 0.932
La4 0.347 0.197 0.513
La5 0.557 0.250 0.750
La6 0.912 0.404 0.432
La7 0.057 0.303 0.987
La8 0.943 0.697 0.013
La9 0.088 0.596 0.568
La10 0.443 0.750 0.250
La11 0.653 0.803 0.487
La12 0.748 0.096 0.068
La13 0.064 0.997 0.637
La14 0.302 0.497 0.137
Co1 0.981 0.250 0.750
Co2 0.019 0.750 0.250
Hg1 0.687 0.881 0.804
Hg2 0.628 0.381 0.304
Hg3 0.372 0.619 0.696
Hg4 0.313 0.119 0.196

Summary:
The space group is C2/c (15). As for the magnetization: 0.00 μB/f.u. For the uncorrected energy, the calculation gives -44.41 eV/f.u. Its theoretical density is 7.7 Mg/m³.



Record 7
Compound: La3CoHg2
Source: the Alexandria database
Functional: PBE
Structure: relaxed

Unit cell a=5.319 b=7.529 c=8.793 alpha=90.00 beta=72.40 gamma=90.00
Element x y z (fractional)
La1 0.501 0.250 0.000
La2 0.499 0.750 0.000
La3 0.131 0.000 0.737
La4 0.869 0.500 0.263
La5 0.131 0.500 0.737
La6 0.869 0.000 0.263
Co1 0.000 0.750 0.000
Co2 0.000 0.250 0.000
Hg1 0.698 0.750 0.605
Hg2 0.697 0.250 0.605
Hg3 0.303 0.750 0.395
Hg4 0.302 0.250 0.395

Summary:
The space group is Cmmm (65). As for the magnetization: 0.00 μB/f.u. For the uncorrected energy, the calculation gives -24.53 eV/f.u. Its theoretical density is 8.7 Mg/m³.



Record 8
Compound: La6Co3Hg
Source: the Alexandria database
Functional: PBE
Structure: relaxed

Unit cell a=4.046 b=12.175 c=12.275 alpha=109.19 beta=90.00 gamma=90.00
Element x y z (fractional)
La1 0.750 0.469 0.607
La2 0.250 0.531 0.393
La3 0.750 0.927 0.086
La4 0.250 0.073 0.914
La5 0.750 0.392 0.056
La6 0.250 0.608 0.944
La7 0.750 0.699 0.253
La8 0.250 0.301 0.747
La9 0.750 0.157 0.464
La10 0.250 0.843 0.536
La11 0.750 0.781 0.772
La12 0.250 0.219 0.228
Co1 0.750 0.458 0.836
Co2 0.250 0.542 0.164
Co3 0.750 0.683 0.495
Co4 0.250 0.317 0.505
Co5 0.750 0.157 0.079
Co6 0.250 0.843 0.921
Hg1 0.750 0.056 0.692
Hg2 0.250 0.944 0.308

Summary:
The space group is P2_1/m (11). As for the magnetization: 0.00 μB/f.u. For the uncorrected energy, the calculation gives -52.91 eV/f.u. Its theoretical density is 7.0 Mg/m³.



Record 9
Compound: La11Co4Hg9
Source: the Alexandria database
Functional: PBE
Structure: relaxed

Unit cell a=3.766 b=13.477 c=13.477 alpha=112.50 beta=90.00 gamma=90.00
Last column: magnetic moment on the atom in μB.
Element x y z (fractional)
La1 0.000 0.581 0.913  0.00
La2 0.000 0.419 0.087  0.00
La3 0.000 0.913 0.581  0.00
La4 0.000 0.087 0.419  0.00
La5 0.000 0.625 0.375  0.00
La6 0.000 0.375 0.625  0.00
La7 0.000 0.837 0.163  0.08
La8 0.000 0.163 0.837  0.08
La9 0.000 0.000 0.000  0.06
La10 0.000 0.689 0.689  0.00
La11 0.000 0.311 0.311  0.00
Co1 0.500 0.548 0.754  0.01
Co2 0.500 0.452 0.246  0.01
Co3 0.500 0.754 0.548  0.01
Co4 0.500 0.246 0.452  0.01
Hg1 0.500 0.633 0.159  0.00
Hg2 0.500 0.367 0.841  0.00
Hg3 0.500 0.159 0.633  0.00
Hg4 0.500 0.841 0.367  0.00
Hg5 0.500 0.782 0.923  0.00
Hg6 0.500 0.218 0.077  0.00
Hg7 0.500 0.923 0.782  0.00
Hg8 0.500 0.077 0.218  0.00
Hg9 0.500 0.500 0.500  0.00

Summary:
The space group is Cmmm (65). As for the magnetization: 0.49 μB/f.u. For the uncorrected energy, the calculation gives -94.69 eV/f.u. Its theoretical density is 9.4 Mg/m³.



Record 10
Compound: La4CoHg2
Source: the Alexandria database
Functional: PBE
Structure: relaxed

Unit cell a=6.924 b=9.507 c=12.747 alpha=90.00 beta=90.00 gamma=90.00
Element x y z (fractional)
Co1 0.750 0.839 0.988
Co2 0.250 0.161 0.012
Co3 0.250 0.661 0.488
Co4 0.750 0.339 0.512
Hg1 0.750 0.461 0.326
Hg2 0.250 0.539 0.674
Hg3 0.250 0.039 0.826
Hg4 0.750 0.961 0.174
Hg5 0.750 0.935 0.656
Hg6 0.250 0.065 0.344
Hg7 0.250 0.565 0.156
Hg8 0.750 0.435 0.844
La1 0.504 0.746 0.833
La2 0.496 0.254 0.167
La3 0.496 0.754 0.333
La4 0.004 0.254 0.167
La5 0.504 0.246 0.667
La6 0.996 0.746 0.833
La7 0.996 0.246 0.667
La8 0.004 0.754 0.333
La9 0.750 0.094 0.923
La10 0.250 0.906 0.077
La11 0.250 0.406 0.423
La12 0.750 0.594 0.577
La13 0.750 0.108 0.424
La14 0.250 0.892 0.576
La15 0.250 0.392 0.924
La16 0.750 0.608 0.076

Summary:
The space group is Pnma (62). As for the magnetization: 0.00 μB/f.u. For the uncorrected energy, the calculation gives -29.33 eV/f.u. Its theoretical density is 8.0 Mg/m³.



Record 11
Compound: La9Co3Hg
Source: the Alexandria database
Functional: PBE
Structure: relaxed

Unit cell a=6.504 b=10.223 c=12.291 alpha=90.00 beta=101.40 gamma=90.00
Element x y z (fractional)
La1 0.222 0.250 0.998
La2 0.188 0.936 0.835
La3 0.188 0.564 0.835
La4 0.221 0.960 0.431
La5 0.221 0.540 0.431
La6 0.280 0.250 0.650
La7 0.318 0.916 0.155
La8 0.318 0.584 0.155
La9 0.447 0.250 0.319
La10 0.553 0.750 0.681
La11 0.682 0.084 0.845
La12 0.682 0.416 0.845
La13 0.720 0.750 0.350
La14 0.779 0.040 0.569
La15 0.779 0.460 0.569
La16 0.812 0.064 0.165
La17 0.812 0.436 0.165
La18 0.778 0.750 0.002
Co1 0.000 0.000 0.000
Co2 0.000 0.500 0.000
Co3 0.350 0.515 0.648
Co4 0.350 0.985 0.648
Co5 0.650 0.015 0.352
Co6 0.650 0.485 0.352
Hg1 0.959 0.250 0.394
Hg2 0.041 0.750 0.606

Summary:
The space group is P2_1/m (11). As for the magnetization: 0.00 μB/f.u. For the uncorrected energy, the calculation gives -67.39 eV/f.u. Its theoretical density is 6.7 Mg/m³.



Record 12
Compound: LaCo3Hg
Source: the Alexandria database
Functional: PBE
Structure: relaxed

Unit cell a=4.816 b=4.816 c=4.816 alpha=90.00 beta=90.00 gamma=90.00
Last column: magnetic moment on the atom in μB.
Element x y z (fractional)
Co1 0.000 0.500 0.000  1.65
Co2 0.000 0.000 0.500  1.84
Co3 0.500 0.000 0.000  1.53
Hg1 0.000 0.000 0.000  -0.04
La1 0.500 0.500 0.500  -0.26

Summary:
The space group is Pm-3m (221). As for the magnetization: 4.24 μB/f.u. For the uncorrected energy, the calculation gives -21.84 eV/f.u. Its theoretical density is 7.7 Mg/m³.



Record 13
Compound: La12CoHg6
Source: the Alexandria database
Functional: PBE
Structure: relaxed

Unit cell a=8.580 b=8.580 c=8.580 alpha=94.35 beta=94.35 gamma=94.35
Element x y z (fractional)
La1 0.805 0.579 0.461
La2 0.461 0.805 0.579
La3 0.579 0.461 0.805
La4 0.195 0.421 0.539
La5 0.539 0.195 0.421
La6 0.421 0.539 0.195
La7 0.973 0.080 0.311
La8 0.920 0.689 0.027
La9 0.689 0.027 0.920
La10 0.027 0.920 0.689
La11 0.080 0.311 0.973
La12 0.311 0.973 0.080
Co1 0.000 0.000 0.000
Hg1 0.650 0.854 0.261
Hg2 0.739 0.350 0.146
Hg3 0.146 0.739 0.350
Hg4 0.350 0.146 0.739
Hg5 0.261 0.650 0.854
Hg6 0.854 0.261 0.650

Summary:
The space group is R-3 (148). As for the magnetization: 0.00 μB/f.u. For the uncorrected energy, the calculation gives -72.94 eV/f.u. Its theoretical density is 7.8 Mg/m³.



Record 14
Compound: La8CoHg2
Source: the Alexandria database
Functional: PBE
Structure: relaxed

Unit cell a=5.065 b=7.413 c=9.729 alpha=93.20 beta=105.09 gamma=90.00
Element x y z (fractional)
La1 0.592 0.483 0.183
La2 0.365 0.996 0.730
La3 0.214 0.312 0.428
La4 0.006 0.774 0.011
La5 0.786 0.688 0.572
La6 0.635 0.004 0.270
La7 0.408 0.517 0.817
La8 0.994 0.226 0.989
Co1 0.500 0.000 0.000
Hg1 0.183 0.749 0.365
Hg2 0.817 0.251 0.635

Summary:
The space group is C2/m (12). As for the magnetization: 0.00 μB/f.u. For the uncorrected energy, the calculation gives -49.26 eV/f.u. Its theoretical density is 7.4 Mg/m³.



Record 15
Compound: La12Co5Hg
Source: the Alexandria database
Functional: PBE
Structure: relaxed

Unit cell a=8.702 b=8.702 c=8.702 alpha=107.43 beta=112.09 gamma=108.93
Element x y z (fractional)
La1 0.516 0.825 0.691
La2 0.484 0.175 0.309
La3 0.866 0.175 0.691
La4 0.134 0.825 0.309
La5 0.687 0.671 0.357
La6 0.313 0.329 0.643
La7 0.313 0.671 0.984
La8 0.687 0.329 0.016
La9 0.814 0.619 0.805
La10 0.186 0.381 0.195
La11 0.186 0.991 0.805
La12 0.814 0.009 0.195
Co1 0.646 0.646 0.000
Co2 0.354 0.354 0.000
Co3 0.500 0.132 0.632
Co4 0.500 0.868 0.368
Co5 0.000 0.000 0.000
Hg1 0.000 0.500 0.500

Summary:
The space group is Immm (71). As for the magnetization: 0.00 μB/f.u. For the uncorrected energy, the calculation gives -97.98 eV/f.u. Its theoretical density is 7.1 Mg/m³.



Record 16
Compound: LiLa2CoHg
Source: the Alexandria database
Functional: PBE
Structure: relaxed

Unit cell a=5.212 b=5.212 c=5.153 alpha=90.00 beta=90.00 gamma=90.00
Element x y z (fractional)
Li1 0.500 0.500 0.500
Co1 0.000 0.000 0.000
Hg1 0.000 0.000 0.500
La1 0.000 0.500 0.000
La2 0.500 0.000 0.000

Summary:
The space group is P4/mmm (123). As for the magnetization: 0.00 μB/f.u. For the uncorrected energy, the calculation gives -19.89 eV/f.u. Its theoretical density is 6.5 Mg/m³.



Record 17
Compound: LiLa2CoHg
Source: the Alexandria database
Functional: PBE
Structure: relaxed

Unit cell a=5.174 b=5.174 c=4.962 alpha=90.00 beta=90.00 gamma=90.00
Element x y z (fractional)
Li1 0.000 0.000 0.500
Co1 0.000 0.000 0.000
Hg1 0.500 0.500 0.500
La1 0.000 0.500 0.000
La2 0.500 0.000 0.000

Summary:
The space group is P4/mmm (123). As for the magnetization: 0.00 μB/f.u. For the uncorrected energy, the calculation gives -19.98 eV/f.u. Its theoretical density is 6.8 Mg/m³.



Record 18
Compound: La2MgCoHg
Source: the Alexandria database
Functional: PBE
Structure: relaxed

Unit cell a=5.215 b=5.215 c=5.059 alpha=90.00 beta=90.00 gamma=90.00
Element x y z (fractional)
Mg1 0.000 0.000 0.500
Co1 0.000 0.000 0.000
Hg1 0.500 0.500 0.500
La1 0.000 0.500 0.000
La2 0.500 0.000 0.000

Summary:
The space group is P4/mmm (123). As for the magnetization: 0.00 μB/f.u. For the uncorrected energy, the calculation gives -20.10 eV/f.u. Its theoretical density is 6.8 Mg/m³.



Record 19
Compound: La2MgCoHg
Source: the Alexandria database
Functional: PBE
Structure: relaxed

Unit cell a=5.211 b=5.211 c=5.156 alpha=90.00 beta=90.00 gamma=90.00
Element x y z (fractional)
Mg1 0.500 0.500 0.500
Co1 0.000 0.000 0.000
Hg1 0.000 0.000 0.500
La1 0.000 0.500 0.000
La2 0.500 0.000 0.000

Summary:
The space group is P4/mmm (123). As for the magnetization: 0.00 μB/f.u. For the uncorrected energy, the calculation gives -19.71 eV/f.u. Its theoretical density is 6.7 Mg/m³.



Record 20
Compound: NaLa2CoHg
Source: the Alexandria database
Functional: PBE
Structure: relaxed

Unit cell a=5.265 b=5.265 c=5.233 alpha=90.00 beta=90.00 gamma=90.00
Element x y z (fractional)
Na1 0.500 0.500 0.500
Co1 0.000 0.000 0.000
Hg1 0.000 0.000 0.500
La1 0.000 0.500 0.000
La2 0.500 0.000 0.000

Summary:
The space group is P4/mmm (123). As for the magnetization: 0.00 μB/f.u. For the uncorrected energy, the calculation gives -19.24 eV/f.u. Its theoretical density is 6.4 Mg/m³.